*1*
Hg2TeAs2: relaxed, PBE.

The structure in CIF format:
```
data_Hg2TeAs2
_chemical_formula_sum 'Hg4 Te2 As4'
_cell_length_a 7.746
_cell_length_b 7.746
_cell_length_c 5.471
_cell_angle_alpha 90.00
_cell_angle_beta 90.00
_cell_angle_gamma 90.00
_symmetry_space_group_name_H-M 'P 4/m b m'
_symmetry_Int_Tables_number 127
_symmetry_space_group_name_Hall '-P 4 2ab'
loop_
_atom_site_label
_atom_site_fract_x
_atom_site_fract_y
_atom_site_fract_z
Hg1 0.145 0.355 0.000
Te1 0.000 0.000 0.000
As1 0.104 0.396 0.500
```

*2*
Hg2TeAs2: relaxed, PBE.

The structure in CIF format:
```
data_Hg2TeAs2
_chemical_formula_sum 'Hg4 Te2 As4'
_cell_length_a 8.093
_cell_length_b 8.093
_cell_length_c 3.919
_cell_angle_alpha 90.00
_cell_angle_beta 90.00
_cell_angle_gamma 90.00
_symmetry_space_group_name_H-M 'P 4/m b m'
_symmetry_Int_Tables_number 127
_symmetry_space_group_name_Hall '-P 4 2ab'
loop_
_atom_site_label
_atom_site_fract_x
_atom_site_fract_y
_atom_site_fract_z
Hg1 0.123 0.377 0.000
Te1 0.000 0.000 0.500
As1 0.207 0.707 0.500
```

If we sort the structures by their calculated energies, the order from most to least stable is *2*, *1*.

*1*
Ti2HgAs: relaxed, PBE.

The structure in CIF format:
```
data_Ti2HgAs
_chemical_formula_sum 'Ti8 Hg4 As4'
_cell_length_a 7.202
_cell_length_b 7.202
_cell_length_c 5.849
_cell_angle_alpha 90.00
_cell_angle_beta 90.00
_cell_angle_gamma 90.00
_symmetry_space_group_name_H-M 'I -4 2 d'
_symmetry_Int_Tables_number 122
_symmetry_space_group_name_Hall 'I -4 2bw'
loop_
_atom_site_label
_atom_site_fract_x
_atom_site_fract_y
_atom_site_fract_z
Ti1 0.227 0.250 0.125
Hg1 0.000 0.000 0.500
As1 0.000 0.000 0.000
```

*2*
Ti2HgAs: relaxed, PBE.

The structure in CIF format:
```
data_Ti2HgAs
_chemical_formula_sum 'Ti8 Hg4 As4'
_cell_length_a 6.548
_cell_length_b 6.548
_cell_length_c 6.548
_cell_angle_alpha 90.00
_cell_angle_beta 90.00
_cell_angle_gamma 90.00
_symmetry_space_group_name_H-M 'F m -3 m'
_symmetry_Int_Tables_number 225
_symmetry_space_group_name_Hall '-F 4 2 3'
loop_
_atom_site_label
_atom_site_fract_x
_atom_site_fract_y
_atom_site_fract_z
Ti1 0.250 0.250 0.250
Hg1 0.000 0.000 0.000
As1 0.000 0.000 0.500
```

If we sort the structures by their calculated energies, the order from most to least stable is *2*, *1*.

*1*
Ti2Hg2As: relaxed, PBE.

The structure in CIF format:
```
data_Ti2Hg2As
_chemical_formula_sum 'Ti4 Hg4 As2'
_cell_length_a 6.619
_cell_length_b 6.619
_cell_length_c 4.546
_cell_angle_alpha 90.00
_cell_angle_beta 90.00
_cell_angle_gamma 90.00
_symmetry_space_group_name_H-M 'P 4/m b m'
_symmetry_Int_Tables_number 127
_symmetry_space_group_name_Hall '-P 4 2ab'
loop_
_atom_site_label
_atom_site_fract_x
_atom_site_fract_y
_atom_site_fract_z
Ti1 0.154 0.346 0.000
Hg1 0.156 0.656 0.500
As1 0.000 0.000 0.000
```

*2*
Ti2Hg2As: relaxed, PBE.

The structure in CIF format:
```
data_Ti2Hg2As
_chemical_formula_sum 'Ti4 Hg4 As2'
_cell_length_a 3.760
_cell_length_b 3.760
_cell_length_c 14.724
_cell_angle_alpha 90.00
_cell_angle_beta 90.00
_cell_angle_gamma 90.00
_symmetry_space_group_name_H-M 'I 4/m m m'
_symmetry_Int_Tables_number 139
_symmetry_space_group_name_Hall '-I 4 2'
loop_
_atom_site_label
_atom_site_fract_x
_atom_site_fract_y
_atom_site_fract_z
Ti1 0.000 0.500 0.250
Hg1 0.000 0.000 0.099
As1 0.000 0.000 0.500
```

If we sort the structures by their calculated energies, the order from most to least stable is *1*, *2*.

*1*
Tl2Hg2As: relaxed, PBE.

The structure in CIF format:
```
data_Tl2Hg2As
_chemical_formula_sum 'Tl4 Hg4 As2'
_cell_length_a 7.509
_cell_length_b 7.509
_cell_length_c 5.490
_cell_angle_alpha 90.00
_cell_angle_beta 90.00
_cell_angle_gamma 90.00
_symmetry_space_group_name_H-M 'P 4/m b m'
_symmetry_Int_Tables_number 127
_symmetry_space_group_name_Hall '-P 4 2ab'
loop_
_atom_site_label
_atom_site_fract_x
_atom_site_fract_y
_atom_site_fract_z
Tl1 0.151 0.349 0.000
Hg1 0.161 0.661 0.500
As1 0.000 0.000 0.000
```

*2*
Tl2Hg2As: relaxed, PBE.

The structure in CIF format:
```
data_Tl2Hg2As
_chemical_formula_sum 'Tl4 Hg4 As2'
_cell_length_a 4.432
_cell_length_b 7.604
_cell_length_c 9.198
_cell_angle_alpha 95.02
_cell_angle_beta 96.03
_cell_angle_gamma 102.44
_symmetry_space_group_name_H-M 'P 1'
_symmetry_Int_Tables_number 1
_symmetry_space_group_name_Hall 'P 1'
loop_
_atom_site_label
_atom_site_fract_x
_atom_site_fract_y
_atom_site_fract_z
Tl1 0.000 0.000 0.000
Tl2 0.091 0.189 0.642
Tl3 0.796 0.608 0.670
Tl4 0.886 0.799 0.311
Hg1 0.247 0.467 0.373
Hg2 0.277 0.617 0.042
Hg3 0.609 0.182 0.269
Hg4 0.638 0.332 0.938
As1 0.414 0.866 0.784
As2 0.472 0.932 0.526
```

If we sort the structures by their calculated energies, the order from most to least stable is *2*, *1*.

*1*
TlHgAs2: relaxed, PBE.

The structure in CIF format:
```
data_TlHgAs2
_chemical_formula_sum 'Tl2 Hg2 As4'
_cell_length_a 12.186
_cell_length_b 3.594
_cell_length_c 5.407
_cell_angle_alpha 90.00
_cell_angle_beta 108.39
_cell_angle_gamma 90.00
_symmetry_space_group_name_H-M 'C 1 2/m 1'
_symmetry_Int_Tables_number 12
_symmetry_space_group_name_Hall '-C 2y'
loop_
_atom_site_label
_atom_site_fract_x
_atom_site_fract_y
_atom_site_fract_z
Tl1 0.000 0.000 0.000
Hg1 0.000 0.500 0.500
As1 0.240 0.500 0.648
```

*2*
TlHgAs2: relaxed, PBE.

The structure in CIF format:
```
data_TlHgAs2
_chemical_formula_sum 'Tl4 Hg4 As8'
_cell_length_a 6.233
_cell_length_b 6.233
_cell_length_c 12.539
_cell_angle_alpha 90.00
_cell_angle_beta 90.00
_cell_angle_gamma 90.00
_symmetry_space_group_name_H-M 'I -4 2 d'
_symmetry_Int_Tables_number 122
_symmetry_space_group_name_Hall 'I -4 2bw'
loop_
_atom_site_label
_atom_site_fract_x
_atom_site_fract_y
_atom_site_fract_z
Tl1 0.000 0.000 0.000
Hg1 0.000 0.000 0.500
As1 0.239 0.250 0.625
```

If we sort the structures by their calculated energies, the order from most to least stable is *1*, *2*.

*1*
TlHg2As: relaxed, PBE.

The structure in CIF format:
```
data_TlHg2As
_chemical_formula_sum 'Tl1 Hg2 As1'
_cell_length_a 3.077
_cell_length_b 4.672
_cell_length_c 7.406
_cell_angle_alpha 90.00
_cell_angle_beta 90.05
_cell_angle_gamma 90.00
_symmetry_space_group_name_H-M 'P 1 2/m 1'
_symmetry_Int_Tables_number 10
_symmetry_space_group_name_Hall '-P 2y'
loop_
_atom_site_label
_atom_site_fract_x
_atom_site_fract_y
_atom_site_fract_z
Tl1 0.000 0.000 0.000
Hg1 0.498 0.500 0.267
As1 0.500 0.000 0.500
```

*2*
TlHg2As: relaxed, PBE.

The structure in CIF format:
```
data_TlHg2As
_chemical_formula_sum 'Tl2 Hg4 As2'
_cell_length_a 4.349
_cell_length_b 4.349
_cell_length_c 10.829
_cell_angle_alpha 90.00
_cell_angle_beta 90.00
_cell_angle_gamma 90.00
_symmetry_space_group_name_H-M 'I -4 m 2'
_symmetry_Int_Tables_number 119
_symmetry_space_group_name_Hall 'I -4 -2'
loop_
_atom_site_label
_atom_site_fract_x
_atom_site_fract_y
_atom_site_fract_z
Tl1 0.000 0.000 0.000
Hg1 0.000 0.000 0.500
Hg2 0.000 0.500 0.250
As1 0.000 0.500 0.750
```

*3*
TlHg2As: relaxed, PBE.

The structure in CIF format:
```
data_TlHg2As
_chemical_formula_sum 'Tl4 Hg8 As4'
_cell_length_a 8.103
_cell_length_b 8.103
_cell_length_c 6.717
_cell_angle_alpha 90.00
_cell_angle_beta 90.00
_cell_angle_gamma 90.00
_symmetry_space_group_name_H-M 'I -4 2 d'
_symmetry_Int_Tables_number 122
_symmetry_space_group_name_Hall 'I -4 2bw'
loop_
_atom_site_label
_atom_site_fract_x
_atom_site_fract_y
_atom_site_fract_z
Tl1 0.000 0.000 0.000
Hg1 0.205 0.750 0.625
As1 0.000 0.000 0.500
```

If we sort the structures by their calculated energies, the order from most to least stable is *1*, *3*, *2*.